YZn10Au2 | GGA-PBE | relaxed

Values from the calculation:
DOS(E_F) (states/eV/atom): 0.30
Crystal system: orthorhombic
Energy of formation (eV/atom): -0.2396

a = 8.9957 Å, b = 10.5144 Å, c = 9.0975 Å
α = 90.00°, β = 90.00°, γ = 90.00°
With the nearest neighbours (Å) after each atom.
Space group Cmcm (No. 63)
Symmetry-distinct sites (fractional):
Y1 0.0000 0.1306 0.2500 [4 per cell]  16 Zn 3.19-3.50, 4 Au 3.44
Zn1 0.0000 0.1516 0.6068 [8 per cell]  5 Zn 2.61-2.71, 2 Au 2.66
Zn2 0.0000 0.3961 0.0793 [8 per cell]  5 Zn 2.62-2.86, 2 Au 2.82
Zn3 0.1439 0.3785 0.7500 [8 per cell]  4 Zn 2.59-2.89, 2 Au 2.81
Zn4 0.2180 0.0000 0.0000 [8 per cell]  8 Zn 2.62-2.89, 2 Au 2.64
Zn5 0.2407 0.3822 0.2500 [8 per cell]  7 Zn 2.62-2.70, 2 Au 2.67
Au1 0.2500 0.2500 0.0000 [8 per cell]  10 Zn 2.64-2.82